GGA-PBEsol CoRu3O, relaxed; uncorrected formation energy = 10.876 eV/f.u.; M_tot = 6.6 μB/f.u.; total energy = -6.525 eV per atom
1.0
4.353 0.000 0.000
0.000 4.353 0.000
0.000 0.000 4.353
Co Ru O
1 3 1
direct
0.000 0.000 0.000
0.000 0.000 0.500
0.000 0.500 0.000
0.500 0.000 0.000
0.500 0.500 0.500